An optimized crystal structure of PaTeIr, computed with PBE.

Cell: 4.866 4.866 4.866 Å, 60.00 60.00 60.00°
Fractional positions:
Te: 0.750 0.750 0.750
Ir: 0.250 0.250 0.250
Pa: 0.000 0.000 0.000

Results
The excess energy over the best structure of this formula in the dataset comes out at 0.0000 eV/atom. As for the space group: F-43m.

An optimized crystal structure of Pr3Mg3TlPt2, computed with PBE.

Cell: 7.659 7.659 4.332 Å, 90.00 90.00 120.00°
Fractional positions:
Pt: 0.333 0.667 0.500
Mg: 0.744 0.000 0.500
Mg: 0.000 0.744 0.500
Tl: 0.000 0.000 0.000
Pr: 0.574 0.574 0.000
Pr: 0.426 0.000 0.000
Pt: 0.667 0.333 0.500
Pr: 0.000 0.426 0.000
Mg: 0.256 0.256 0.500

Results
As for the space group: P-62m.

An optimized crystal structure of CuTcGeW, computed with PBE.

Cell: 4.338 4.338 4.338 Å, 60.00 60.00 60.00°
Fractional positions:
W: 0.000 0.000 0.000
Cu: 0.750 0.750 0.750
Tc: 0.250 0.250 0.250
Ge: 0.500 0.500 0.500

Results
The excess energy over the best structure of this formula in the dataset comes out at 0.0000 eV/atom. As for the space group: F-43m.

Summary of VASP energy in eV per formula unit
-22.04, -39.29, -30.74
(order as listed above)